A relaxed BeCoRh crystal, computed with PBE.

Cell: 6.116 5.890 2.567 Å, 82.64 72.77 24.60°
Each line ends with the local moment (μB).
Positions (direct):
Co 0.346 0.346 0.654  1.51
Rh 0.655 0.655 0.345  0.23
Be 0.998 0.998 0.002  -0.04

Crystal system: orthorhombic
VASP energy, eV per atom: -6.0567
E above lowest polymorph, eV/atom: 0.258
N(E_F), states/eV per atom: 1.192
DFT formation energy, eV/atom: 0.004